Entry from Alexandria: an optimized crystal structure of Li6Cd2H (GGA-PBE).

```
Li6Cd2H
1.0
5.9635 0.0000 -0.1558
0.0000 5.9547 0.0000
0.2197 0.0000 8.0904
Li Cd H
12 4 2
direct
0.9997 0.0000 0.2561 Li
0.7609 0.7599 0.5007 Li
0.7392 0.7406 0.9993 Li
0.7608 0.2406 0.5007 Li
0.7391 0.2599 0.9993 Li
0.5003 0.5000 0.2439 Li
0.0003 0.0000 0.7439 Li
0.2391 0.2401 0.4993 Li
0.2608 0.2594 0.0007 Li
0.2392 0.7594 0.4993 Li
0.2609 0.7401 0.0007 Li
0.4997 0.5000 0.7561 Li
0.0011 0.5000 0.7511 Cd
0.4989 0.0000 0.7489 Cd
0.5011 0.0000 0.2511 Cd
0.9989 0.5000 0.2489 Cd
0.5000 0.5000 0.0000 H
0.0000 0.0000 0.5000 H
```

raw total energy	-2.07	eV per atom
calculated volume	15.972	A^3/atom